#i
First-principles (PBE) data for crystalline Pr5Nd3Y4 at its relaxed geometry, as listed in Alexandria via LeMat-Bulk.

a b c (Å): 6.0844 8.7611 9.8577
angles (deg): 105.93 72.02 69.68
Fractional positions:
Pr  0.6230  0.9536  0.8004
Pr  0.5000  0.5000  0.5000
Pr  0.2097  0.4637  0.1170
Pr  0.7903  0.5363  0.8830
Pr  0.3770  0.0464  0.1996
Nd  0.5212  0.6877  0.2699
Nd  0.0000  0.5000  0.5000
Nd  0.4788  0.3123  0.7301
Y  0.8590  0.2222  0.0598
Y  0.1658  0.0461  0.6224
Y  0.8342  0.9539  0.3776
Y  0.1410  0.7778  0.9402

Results
V, A^3/atom: 35.3
M_tot, μB/cell: 0.00

#ii
First-principles (PBE) data for crystalline Pr5Nd3Y4 at its relaxed geometry, as listed in Alexandria via LeMat-Bulk.

a b c (Å): 7.3141 9.6974 13.2221
angles (deg): 153.06 81.87 101.03
Fractional positions:
Pr  0.3318  0.6677  0.8336
Pr  0.5000  0.0000  0.5000
Pr  0.7517  0.4994  0.9987
Pr  0.2483  0.5006  0.0013
Pr  0.6682  0.3323  0.1664
Nd  0.5840  0.1708  0.3354
Nd  0.0000  0.0000  0.5000
Nd  0.4160  0.8292  0.6646
Y  0.9183  0.8306  0.6661
Y  0.8356  0.6704  0.8345
Y  0.1644  0.3296  0.1655
Y  0.0817  0.1694  0.3339

Results
V, A^3/atom: 34.7
M_tot, μB/cell: 0.00

Short version: #ii, #i, most stable first.

#i
First-principles (PBE) data for crystalline Pr7NdY3 at its relaxed geometry, as listed in Alexandria via LeMat-Bulk.

a b c (Å): 6.5186 7.8927 7.8926
angles (deg): 81.73 94.42 94.42
Fractional positions:
Pr  0.2146  0.2366  0.2366
Pr  0.2602  0.9258  0.5761
Pr  0.7398  0.4239  0.0742
Pr  0.2602  0.5761  0.9258
Pr  0.0000  0.5000  0.5000
Pr  0.7398  0.0742  0.4239
Pr  0.7854  0.7634  0.7634
Nd  0.5000  0.5000  0.5000
Y  0.0000  0.8312  0.1688
Y  0.5000  0.0000  0.0000
Y  0.0000  0.1688  0.8312

Results
V, A^3/atom: 36.3
M_tot, μB/cell: 0.00

#ii
First-principles (PBE) data for crystalline Pr7NdY3 at its relaxed geometry, as listed in Alexandria via LeMat-Bulk.

a b c (Å): 8.7917 7.2980 7.2980
angles (deg): 120.00 90.00 90.00
Fractional positions:
Pr  0.1078  0.1667  0.8333
Pr  0.1078  0.1667  0.3334
Pr  0.1263  0.6667  0.3333
Pr  0.4587  0.8334  0.1666
Pr  0.4587  0.3331  0.1666
Pr  0.4587  0.8334  0.6669
Pr  0.1078  0.6666  0.8333
Nd  0.4406  0.3333  0.6667
Y  0.7829  0.4998  0.5002
Y  0.7829  0.4998  0.9996
Y  0.7829  0.0004  0.5002

Results
V, A^3/atom: 36.9
M_tot, μB/cell: 0.00

Short version: #ii, #i, most stable first.

#i
First-principles (PBE) data for crystalline Pr3NdY3 at its relaxed geometry, as listed in Alexandria via LeMat-Bulk.

a b c (Å): 7.2362 6.6817 6.6817
angles (deg): 107.73 111.16 111.16
Fractional positions:
Pr  0.0214  0.5621  0.5621
Pr  0.4593  0.0000  0.4379
Pr  0.4593  0.4379  0.0000
Nd  0.4929  0.0000  0.0000
Y  0.6031  0.6336  0.6336
Y  0.9695  0.0000  0.3664
Y  0.9695  0.3664  0.0000

Results
V, A^3/atom: 34.8
M_tot, μB/cell: 0.00

#ii
First-principles (PBE) data for crystalline Pr3NdY3 at its relaxed geometry, as listed in Alexandria via LeMat-Bulk.

a b c (Å): 9.0343 9.0343 9.0343
angles (deg): 58.55 58.55 58.55
Fractional positions:
Pr  0.7178  0.5667  0.0715
Pr  0.0715  0.7178  0.5667
Pr  0.5667  0.0715  0.7178
Pr  0.4333  0.9285  0.2822
Pr  0.9285  0.2822  0.4333
Pr  0.2822  0.4333  0.9285
Nd  0.3438  0.3438  0.3438
Nd  0.6562  0.6562  0.6562
Y  0.7144  0.1731  0.9375
Y  0.1731  0.9375  0.7144
Y  0.9375  0.7144  0.1731
Y  0.0625  0.2856  0.8269
Y  0.8269  0.0625  0.2856
Y  0.2856  0.8269  0.0625

Results
V, A^3/atom: 36.0
M_tot, μB/cell: 0.00

Short version: #ii, #i, most stable first.

#i
First-principles (PBE) data for crystalline Pr5NdY2 at its relaxed geometry, as listed in Alexandria via LeMat-Bulk.

a b c (Å): 7.2743 15.0038 10.2066
angles (deg): 90.00 90.00 147.90
Fractional positions:
Pr  0.2479  0.9988  0.9709
Pr  0.2479  0.9988  0.5291
Pr  0.3741  0.6413  0.4067
Pr  0.3741  0.6412  0.0933
Pr  0.4823  0.2699  0.2500
Pr  0.5177  0.7301  0.7500
Pr  0.6259  0.3587  0.5933
Pr  0.6259  0.3588  0.9067
Pr  0.7521  0.0012  0.0291
Pr  0.7521  0.0012  0.4709
Nd  0.9944  0.7127  0.7500
Nd  0.0056  0.2873  0.2500
Y  0.8597  0.6339  0.4088
Y  0.8597  0.6339  0.0912
Y  0.1403  0.3661  0.5912
Y  0.1403  0.3661  0.9088

Results
V, A^3/atom: 37.0
M_tot, μB/cell: 0.00

#ii
First-principles (PBE) data for crystalline Pr5NdY2 at its relaxed geometry, as listed in Alexandria via LeMat-Bulk.

a b c (Å): 5.1912 7.3440 14.6891
angles (deg): 90.00 90.00 90.00
Fractional positions:
Pr  0.0000  0.0000  0.0000
Pr  0.0000  0.5000  0.5000
Pr  0.0000  0.5002  0.7503
Pr  0.0000  0.4998  0.2497
Pr  0.0000  0.9998  0.2503
Pr  0.0000  0.0002  0.7497
Pr  0.5000  0.2504  0.8752
Pr  0.5000  0.7496  0.1248
Pr  0.5000  0.2496  0.3751
Pr  0.5000  0.7504  0.6249
Nd  0.0000  0.0000  0.5000
Nd  0.0000  0.5000  0.0000
Y  0.5000  0.2500  0.6247
Y  0.5000  0.7500  0.3753
Y  0.5000  0.2500  0.1247
Y  0.5000  0.7500  0.8753

Results
V, A^3/atom: 35.0
M_tot, μB/cell: 0.00

Short version: #ii, #i, most stable first.

#i
First-principles (PBE) data for crystalline PrNd4Y7 at its relaxed geometry, as listed in Alexandria via LeMat-Bulk.

a b c (Å): 7.2226 8.1052 11.9518
angles (deg): 61.85 41.25 63.34
Fractional positions:
Pr  0.0000  0.0000  0.0000
Nd  0.4998  0.6670  0.3336
Nd  0.5002  0.3330  0.6664
Nd  0.7499  0.8335  0.6669
Nd  0.2501  0.1665  0.3331
Y  0.7501  0.5001  0.9998
Y  0.2499  0.4999  0.0002
Y  0.9991  0.3338  0.6669
Y  0.0009  0.6662  0.3331
Y  0.2500  0.8330  0.6668
Y  0.5000  0.0000  0.0000
Y  0.7500  0.1670  0.3332

Results
V, A^3/atom: 33.5
M_tot, μB/cell: 0.00

#ii
First-principles (PBE) data for crystalline PrNd4Y7 at its relaxed geometry, as listed in Alexandria via LeMat-Bulk.

a b c (Å): 5.9588 11.8352 6.8132
angles (deg): 82.83 64.07 75.42
Fractional positions:
Pr  0.0000  0.0000  0.0000
Nd  0.6369  0.2236  0.5026
Nd  0.3631  0.7764  0.4974
Nd  0.7738  0.6686  0.7839
Nd  0.2262  0.3314  0.2161
Y  0.7898  0.9226  0.4979
Y  0.2102  0.0774  0.5021
Y  0.0679  0.6837  0.1806
Y  0.9321  0.3163  0.8194
Y  0.3671  0.4969  0.7689
Y  0.5000  0.0000  0.0000
Y  0.6329  0.5031  0.2311

Results
V, A^3/atom: 34.8
M_tot, μB/cell: 0.00

Short version: #i, #ii, most stable first.

#i
First-principles (PBE) data for crystalline PrNd7Y2 at its relaxed geometry, as listed in Alexandria via LeMat-Bulk.

a b c (Å): 5.6848 9.5461 9.5461
angles (deg): 125.29 90.00 90.00
Fractional positions:
Pr  0.0000  0.0000  0.0000
Nd  0.0000  0.7855  0.2145
Nd  0.0000  0.2145  0.7855
Nd  0.5000  0.0665  0.2903
Nd  0.5000  0.9335  0.7097
Nd  0.5000  0.2903  0.0665
Nd  0.5000  0.7097  0.9335
Nd  0.5000  0.5000  0.5000
Y  0.5000  0.7066  0.2934
Y  0.5000  0.2934  0.7066

Results
V, A^3/atom: 42.3
M_tot, μB/cell: 0.00

#ii
First-principles (PBE) data for crystalline PrNd7Y2 at its relaxed geometry, as listed in Alexandria via LeMat-Bulk.

a b c (Å): 6.3567 9.6979 6.3334
angles (deg): 109.00 99.59 102.72
Fractional positions:
Pr  0.0000  0.0000  0.0000
Nd  0.0985  0.6986  0.2001
Nd  0.9015  0.3014  0.7999
Nd  0.3988  0.7978  0.7987
Nd  0.6012  0.2022  0.2013
Nd  0.6988  0.8990  0.4004
Nd  0.3012  0.1010  0.5996
Nd  0.5000  0.5000  0.0000
Y  0.7989  0.5982  0.5984
Y  0.2011  0.4018  0.4016

Results
V, A^3/atom: 34.8
M_tot, μB/cell: 0.00

Short version: #ii, #i, most stable first.

#i
First-principles (PBE) data for crystalline PrNd2Y3 at its relaxed geometry, as listed in Alexandria via LeMat-Bulk.

a b c (Å): 3.4441 6.7033 17.9032
angles (deg): 90.00 90.00 90.00
Fractional positions:
Pr  0.0000  0.0000  0.5000
Pr  0.5000  0.5000  0.0000
Nd  0.5000  0.7727  0.1510
Nd  0.0000  0.2727  0.3490
Nd  0.0000  0.7273  0.6510
Nd  0.5000  0.2273  0.8490
Y  0.0000  0.0000  0.0000
Y  0.5000  0.5000  0.5000
Y  0.5000  0.7322  0.8198
Y  0.5000  0.2678  0.1802
Y  0.0000  0.2322  0.6802
Y  0.0000  0.7678  0.3198

Results
V, A^3/atom: 34.4
M_tot, μB/cell: 0.00

#ii
First-principles (PBE) data for crystalline PrNd2Y3 at its relaxed geometry, as listed in Alexandria via LeMat-Bulk.

a b c (Å): 9.1012 6.7580 6.7580
angles (deg): 95.35 82.34 82.34
Fractional positions:
Pr  0.7500  0.9139  0.0861
Pr  0.2500  0.0861  0.9139
Nd  0.6261  0.1293  0.6241
Nd  0.1261  0.6241  0.1293
Nd  0.8739  0.3759  0.8707
Nd  0.3739  0.8707  0.3759
Y  0.2500  0.4184  0.5816
Y  0.7500  0.5816  0.4184
Y  0.9987  0.8351  0.6687
Y  0.5013  0.3313  0.1649
Y  0.4987  0.6687  0.8351
Y  0.0013  0.1649  0.3313

Results
V, A^3/atom: 33.8
M_tot, μB/cell: 0.00

Short version: #ii, #i, most stable first.

#i
First-principles (PBE) data for crystalline Pr3Nd2Zn2 at its relaxed geometry, as listed in Alexandria via LeMat-Bulk.

a b c (Å): 3.8190 6.8169 9.5675
angles (deg): 114.88 90.00 106.27
Fractional positions:
Pr  0.5000  0.0000  0.0000
Pr  0.6109  0.2219  0.4390
Pr  0.3891  0.7781  0.5610
Nd  0.8458  0.6916  0.1829
Nd  0.1542  0.3084  0.8171
Zn  0.8244  0.6489  0.7713
Zn  0.1756  0.3511  0.2287

Results
V, A^3/atom: 30.7
M_tot, μB/cell: 0.00

#ii
First-principles (PBE) data for crystalline Pr3Nd2Zn2 at its relaxed geometry, as listed in Alexandria via LeMat-Bulk.

a b c (Å): 3.7423 3.6757 15.6007
angles (deg): 90.00 96.89 90.00
Fractional positions:
Pr  0.4136  0.5000  0.8272
Pr  0.5864  0.5000  0.1728
Pr  0.0000  0.0000  0.0000
Nd  0.2985  0.5000  0.5970
Nd  0.7015  0.5000  0.4030
Zn  0.1450  0.0000  0.2900
Zn  0.8550  0.0000  0.7100

Results
V, A^3/atom: 30.4
M_tot, μB/cell: 0.22

Short version: #i, #ii, most stable first.

#i
First-principles (PBE) data for crystalline PrNdZn at its relaxed geometry, as listed in Alexandria via LeMat-Bulk.

a b c (Å): 5.1293 7.2103 10.2724
angles (deg): 90.00 90.00 90.00
Fractional positions:
Pr  0.7500  0.0025  0.1264
Pr  0.2500  0.5025  0.3736
Pr  0.2500  0.9975  0.8736
Pr  0.7500  0.4975  0.6264
Zn  0.7500  0.7518  0.3749
Zn  0.2500  0.2518  0.1251
Zn  0.2500  0.2482  0.6251
Zn  0.7500  0.7482  0.8749
Nd  0.7500  0.5029  0.1236
Nd  0.2500  0.0029  0.3764
Nd  0.2500  0.4971  0.8764
Nd  0.7500  0.9971  0.6236

Results
V, A^3/atom: 31.7
M_tot, μB/cell: 0.00

#ii
First-principles (PBE) data for crystalline PrNdZn at its relaxed geometry, as listed in Alexandria via LeMat-Bulk.

a b c (Å): 3.8231 5.0770 5.0770
angles (deg): 120.00 90.00 90.00
Fractional positions:
Pr  0.6219  0.6667  0.3333
Zn  0.3272  0.3333  0.6667
Nd  0.0509  0.0000  0.0000

Results
V, A^3/atom: 28.4
M_tot, μB/cell: 0.00

#iii
First-principles (PBE) data for crystalline PrNdZn at its relaxed geometry, as listed in Alexandria via LeMat-Bulk.

a b c (Å): 3.7298 3.7298 6.7872
angles (deg): 105.95 105.95 90.00
Fractional positions:
Pr  0.0215  0.0215  0.0430
Zn  0.6683  0.6683  0.3367
Nd  0.3102  0.3102  0.6204

Results
V, A^3/atom: 29.0
M_tot, μB/cell: 0.20

Short version: #iii, #ii, #i, most stable first.

#i
First-principles (PBE) data for crystalline PrNdZn2 at its relaxed geometry, as listed in Alexandria via LeMat-Bulk.

a b c (Å): 3.7414 3.7414 9.4174
angles (deg): 78.54 78.54 60.00
Fractional positions:
Pr  0.0000  0.0000  0.0000
Zn  0.7507  0.7507  0.7478
Zn  0.2493  0.2493  0.2522
Nd  0.5000  0.5000  0.5000

Results
V, A^3/atom: 27.8
M_tot, μB/cell: 0.00

#ii
First-principles (PBE) data for crystalline PrNdZn2 at its relaxed geometry, as listed in Alexandria via LeMat-Bulk.

a b c (Å): 3.7097 5.2232 5.2232
angles (deg): 90.00 90.00 90.00
Fractional positions:
Pr  0.5000  0.0000  0.0000
Zn  0.0000  0.0000  0.5000
Zn  0.0000  0.5000  0.0000
Nd  0.5000  0.5000  0.5000

Results
V, A^3/atom: 25.3
M_tot, μB/cell: 0.00

Short version: #ii, #i, most stable first.